Record 1
{
  "formula": "Ba2HgRu",
  "functional": "GGA-PBE",
  "state": "relaxed",
  "magnetic_moment_mub_per_cell": 0.0,
  "spacegroup": "F-43m (216)",
  "lattice": [[0.000, 3.832, 3.832], [3.832, 0.000, 3.832], [3.832, 3.832, 0.000]],
  "species": ["Ba", "Ba", "Hg", "Ru"],
  "fractional_positions": [[0.000, 0.000, 0.000], [0.250, 0.250, 0.250], [0.500, 0.500, 0.500], [0.750, 0.750, 0.750]]
}

=====

Record 2
{
  "formula": "BaHg3Ru",
  "functional": "GGA-PBE",
  "state": "relaxed",
  "magnetic_moment_mub_per_cell": 0.0,
  "spacegroup": "Pm-3m (221)",
  "lattice": [[5.301, 0.000, 0.000], [0.000, 5.301, 0.000], [0.000, 0.000, 5.301]],
  "species": ["Ba", "Hg", "Hg", "Hg", "Ru"],
  "fractional_positions": [[0.000, 0.000, 0.000], [0.000, 0.500, 0.500], [0.500, 0.000, 0.500], [0.500, 0.500, 0.000], [0.500, 0.500, 0.500]]
}

=====

no.,total DFT energy (no corrections) (Ry/atom)
1,-0.21898
2,-0.18288